The following is a SCAN calculation of a crystal of Li3CeBi2 relaxed with PBEsol, from the Alexandria database. Values from VASP.

Values from the calculation:
ΔH_f (0 K)   -749 meV/atom
DOS at the Fermi energy   0.576 states/eV/atom

Structure (Quantum ESPRESSO input):
```
&SYSTEM
  ibrav = 0, nat = 6, ntyp = 3
/
ATOMIC_SPECIES
Li 6.94 Li.upf
Ce 140.12 Ce.upf
Bi 208.98 Bi.upf
CELL_PARAMETERS angstrom
4.6470 0.0000 0.0000
-2.3235 4.0244 0.0000
0.0000 0.0000 7.3649
ATOMIC_POSITIONS angstrom
Li 0.0000 0.0000 0.0000
Li 0.0000 2.6829 6.2657
Li 2.3235 1.3415 1.0992
Ce 0.0000 0.0000 3.6825
Bi 0.0000 2.6829 1.8373
Bi 2.3235 1.3415 5.5276
```


The following is a SCAN calculation of a crystal of Ce4Ni3Bi8 relaxed with PBEsol, from the Alexandria database. Values from VASP.

Values from the calculation:
ΔH_f (0 K)   -582 meV/atom
DOS at the Fermi energy   1.000 states/eV/atom

Structure (Quantum ESPRESSO input):
```
&SYSTEM
  ibrav = 0, nat = 15, ntyp = 3
/
ATOMIC_SPECIES
Ce 140.12 Ce.upf
Ni 58.69 Ni.upf
Bi 208.98 Bi.upf
CELL_PARAMETERS angstrom
4.4982 0.0000 0.0000
0.0000 4.4982 0.0000
0.0000 0.0000 18.3618
ATOMIC_POSITIONS angstrom
Ce 0.0000 2.2491 1.9764
Ce 0.0000 2.2491 11.2175
Ce 2.2491 0.0000 7.1443
Ce 2.2491 0.0000 16.3853
Ni 0.0000 0.0000 9.1809
Ni 2.2491 2.2491 0.0000
Ni 2.2491 2.2491 9.1809
Bi 0.0000 0.0000 4.5497
Bi 0.0000 0.0000 13.8121
Bi 0.0000 2.2491 7.7334
Bi 0.0000 2.2491 16.9863
Bi 2.2491 0.0000 1.3754
Bi 2.2491 0.0000 10.6284
Bi 2.2491 2.2491 4.5474
Bi 2.2491 2.2491 13.8144
```


The following is a SCAN calculation of a crystal of Ce4Ni4Bi3Sb5 relaxed with PBEsol, from the Alexandria database. Values from VASP.

Values from the calculation:
DOS at the Fermi energy   1.067 states/eV/atom

Structure (Quantum ESPRESSO input):
```
&SYSTEM
  ibrav = 0, nat = 16, ntyp = 4
/
ATOMIC_SPECIES
Ce 140.12 Ce.upf
Ni 58.69 Ni.upf
Bi 208.98 Bi.upf
Sb 121.76 Sb.upf
CELL_PARAMETERS angstrom
4.3916 0.0000 0.0000
0.0000 4.3916 0.0000
0.0000 0.0000 18.6412
ATOMIC_POSITIONS angstrom
Ce 0.0000 2.1958 2.5326
Ce 0.0000 2.1958 11.9210
Ce 2.1958 0.0000 6.7202
Ce 2.1958 0.0000 16.1086
Ni 0.0000 0.0000 4.6422
Ni 0.0000 0.0000 13.9990
Ni 2.1958 2.1958 4.6440
Ni 2.1958 2.1958 13.9972
Bi 0.0000 0.0000 0.0000
Bi 0.0000 0.0000 9.3206
Bi 2.1958 2.1958 9.3206
Sb 0.0000 2.1958 5.9905
Sb 0.0000 2.1958 15.3537
Sb 2.1958 0.0000 3.2875
Sb 2.1958 0.0000 12.6507
Sb 2.1958 2.1958 0.0000
```


The following is a SCAN calculation of a crystal of CeBiS2O relaxed with PBEsol, from the Alexandria database. Values from VASP.

Values from the calculation:
DOS at the Fermi energy   0.707 states/eV/atom

Structure (Quantum ESPRESSO input):
```
&SYSTEM
  ibrav = 0, nat = 10, ntyp = 4
/
ATOMIC_SPECIES
Ce 140.12 Ce.upf
Bi 208.98 Bi.upf
S 32.06 S.upf
O 16.00 O.upf
CELL_PARAMETERS angstrom
3.9597 0.0000 0.0000
0.0000 3.9597 0.0000
0.0000 0.0000 13.3258
ATOMIC_POSITIONS angstrom
Ce 0.9899 0.9899 1.2305
Ce 2.9698 2.9698 12.0953
Bi 0.9899 0.9899 8.2650
Bi 2.9698 2.9698 5.0607
S 0.9899 0.9899 5.1483
S 0.9899 0.9899 10.8683
S 2.9698 2.9698 2.4574
S 2.9698 2.9698 8.1775
O 0.9899 2.9698 0.0000
O 2.9698 0.9899 0.0000
```


The following is a SCAN calculation of a crystal of CeBiPd relaxed with PBEsol, from the Alexandria database. Values from VASP.

Values from the calculation:
ΔH_f (0 K)   -1026 meV/atom
DOS at the Fermi energy   0.500 states/eV/atom

Structure (Quantum ESPRESSO input):
```
&SYSTEM
  ibrav = 0, nat = 12, ntyp = 3
/
ATOMIC_SPECIES
Ce 140.12 Ce.upf
Bi 208.98 Bi.upf
Pd 106.42 Pd.upf
CELL_PARAMETERS angstrom
6.7372 0.0000 0.0000
0.0000 6.7372 0.0000
0.0000 0.0000 6.7372
ATOMIC_POSITIONS angstrom
Ce 0.0000 0.0000 0.0000
Ce 0.0000 3.3686 3.3686
Ce 3.3686 0.0000 3.3686
Ce 3.3686 3.3686 0.0000
Bi 0.0000 0.0000 3.3686
Bi 0.0000 3.3686 0.0000
Bi 3.3686 0.0000 0.0000
Bi 3.3686 3.3686 3.3686
Pd 1.6843 1.6843 5.0529
Pd 1.6843 5.0529 1.6843
Pd 5.0529 1.6843 1.6843
Pd 5.0529 5.0529 5.0529
```


The following is a SCAN calculation of a crystal of CeBiPt relaxed with PBEsol, from the Alexandria database. Values from VASP.

Values from the calculation:
ΔH_f (0 K)   -1168 meV/atom
DOS at the Fermi energy   0.250 states/eV/atom

Structure (Quantum ESPRESSO input):
```
&SYSTEM
  ibrav = 0, nat = 12, ntyp = 3
/
ATOMIC_SPECIES
Ce 140.12 Ce.upf
Bi 208.98 Bi.upf
Pt 195.08 Pt.upf
CELL_PARAMETERS angstrom
6.7601 0.0000 0.0000
0.0000 6.7601 0.0000
0.0000 0.0000 6.7601
ATOMIC_POSITIONS angstrom
Ce 0.0000 0.0000 0.0000
Ce 0.0000 3.3801 3.3801
Ce 3.3801 0.0000 3.3801
Ce 3.3801 3.3801 0.0000
Bi 0.0000 0.0000 3.3801
Bi 0.0000 3.3801 0.0000
Bi 3.3801 0.0000 0.0000
Bi 3.3801 3.3801 3.3801
Pt 1.6900 1.6900 1.6900
Pt 1.6900 5.0701 5.0701
Pt 5.0701 1.6900 5.0701
Pt 5.0701 5.0701 1.6900
```


The following is a SCAN calculation of a crystal of Ce2Bi5Rh3 relaxed with PBEsol, from the Alexandria database. Values from VASP.

Values from the calculation:
ΔH_f (0 K)   -550 meV/atom
DOS at the Fermi energy   0.672 states/eV/atom

Structure (Quantum ESPRESSO input):
```
&SYSTEM
  ibrav = 0, nat = 20, ntyp = 3
/
ATOMIC_SPECIES
Ce 140.12 Ce.upf
Bi 208.98 Bi.upf
Rh 102.91 Rh.upf
CELL_PARAMETERS angstrom
2.3250 -13.4756 0.0000
2.3250 13.4756 0.0000
0.0000 0.0000 7.4721
ATOMIC_POSITIONS angstrom
Ce 2.3250 12.7974 3.7361
Ce 2.3250 4.5146 3.9894
Ce 2.3250 -4.5146 0.2534
Ce 2.3250 -12.7974 0.0000
Bi 2.3250 10.9038 6.5379
Bi 2.3250 8.0248 2.4628
Bi 2.3250 7.7231 5.6782
Bi 2.3250 3.2656 0.0874
Bi 2.3250 1.2181 4.9854
Bi 2.3250 -1.2181 1.2493
Bi 2.3250 -3.2656 3.8235
Bi 2.3250 -7.7231 1.9421
Bi 2.3250 -8.0248 6.1988
Bi 2.3250 -10.9038 2.8018
Rh 2.3250 10.8354 1.9817
Rh 2.3250 6.0641 0.4122
Rh 2.3250 1.3577 2.1480
Rh 2.3250 -1.3577 5.8840
Rh 2.3250 -6.0641 4.1483
Rh 2.3250 -10.8354 5.7178
```


The following is a SCAN calculation of a crystal of BiCl3 relaxed with PBEsol, from the Alexandria database. Values from VASP.

Values from the calculation:
DOS at the Fermi energy   0.000 states/eV/atom

Structure (Quantum ESPRESSO input):
```
&SYSTEM
  ibrav = 0, nat = 16, ntyp = 2
/
ATOMIC_SPECIES
Bi 208.98 Bi.upf
Cl 35.45 Cl.upf
CELL_PARAMETERS angstrom
7.5158 0.0000 0.0000
0.0000 8.6179 0.0000
0.0000 0.0000 6.2923
ATOMIC_POSITIONS angstrom
Bi 0.6081 2.1545 0.0521
Bi 3.1498 6.4634 3.1982
Bi 4.3660 2.1545 3.0941
Bi 6.9077 6.4634 6.2402
Cl 0.3431 6.4634 2.2998
Cl 1.3008 4.8378 5.3869
Cl 1.3008 8.0891 5.3869
Cl 2.4571 0.5288 2.2408
Cl 2.4571 3.7801 2.2408
Cl 3.4147 2.1545 5.4459
Cl 4.1010 6.4634 0.8464
Cl 5.0587 4.8378 4.0515
Cl 5.0587 8.0891 4.0515
Cl 6.2150 0.5288 0.9054
Cl 6.2150 3.7801 0.9054
Cl 7.1726 2.1545 3.9925
```


The following is a SCAN calculation of a crystal of CoBiP2Cl relaxed with PBEsol, from the Alexandria database. Values from VASP.

Values from the calculation:
DOS at the Fermi energy   0.887 states/eV/atom

Structure (Quantum ESPRESSO input):
```
&SYSTEM
  ibrav = 0, nat = 5, ntyp = 4
/
ATOMIC_SPECIES
Co 58.93 Co.upf
Bi 208.98 Bi.upf
P 30.97 P.upf
Cl 35.45 Cl.upf
CELL_PARAMETERS angstrom
4.3943 0.0000 0.0000
0.0000 4.3943 0.0000
0.0000 0.0000 4.6584
ATOMIC_POSITIONS angstrom
Co 0.0000 0.0000 0.0000
Bi 2.1972 2.1972 2.3292
P 0.0000 2.1972 0.0000
P 2.1972 0.0000 0.0000
Cl 0.0000 0.0000 2.3292
```


The following is a SCAN calculation of a crystal of RbCo2BiCl relaxed with PBEsol, from the Alexandria database. Values from VASP.

Values from the calculation:
DOS at the Fermi energy   0.899 states/eV/atom

Structure (Quantum ESPRESSO input):
```
&SYSTEM
  ibrav = 0, nat = 5, ntyp = 4
/
ATOMIC_SPECIES
Rb 85.47 Rb.upf
Co 58.93 Co.upf
Bi 208.98 Bi.upf
Cl 35.45 Cl.upf
CELL_PARAMETERS angstrom
4.7505 0.0000 0.0000
0.0000 4.7505 0.0000
0.0000 0.0000 5.4095
ATOMIC_POSITIONS angstrom
Rb 0.0000 0.0000 0.0000
Co 0.0000 2.3752 0.0000
Co 2.3752 0.0000 0.0000
Bi 2.3752 2.3752 2.7047
Cl 0.0000 0.0000 2.7047
```


The following is a SCAN calculation of a crystal of Cs2BiCl relaxed with PBEsol, from the Alexandria database. Values from VASP.

Values from the calculation:
DOS at the Fermi energy   0.565 states/eV/atom

Structure (Quantum ESPRESSO input):
```
&SYSTEM
  ibrav = 0, nat = 16, ntyp = 3
/
ATOMIC_SPECIES
Cs 132.91 Cs.upf
Bi 208.98 Bi.upf
Cl 35.45 Cl.upf
CELL_PARAMETERS angstrom
9.5793 0.0000 0.0000
0.0000 9.5793 0.0000
0.0000 0.0000 9.1261
ATOMIC_POSITIONS angstrom
Cs 1.8756 7.1845 1.1408
Cs 2.3948 1.8756 7.9853
Cs 2.3948 2.9141 3.4223
Cs 2.9141 7.1845 5.7038
Cs 6.6652 2.3948 5.7038
Cs 7.1845 6.6652 3.4223
Cs 7.1845 7.7038 7.9853
Cs 7.7038 2.3948 1.1408
Bi 0.0000 0.0000 4.5630
Bi 0.0000 4.7897 6.8446
Bi 4.7897 0.0000 2.2815
Bi 4.7897 4.7897 0.0000
Cl 0.0000 0.0000 0.0000
Cl 0.0000 4.7897 2.2815
Cl 4.7897 0.0000 6.8446
Cl 4.7897 4.7897 4.5630
```


The following is a SCAN calculation of a crystal of Cs2Bi2Cl relaxed with PBEsol, from the Alexandria database. Values from VASP.

Values from the calculation:
DOS at the Fermi energy   0.322 states/eV/atom

Structure (Quantum ESPRESSO input):
```
&SYSTEM
  ibrav = 0, nat = 10, ntyp = 3
/
ATOMIC_SPECIES
Cs 132.91 Cs.upf
Bi 208.98 Bi.upf
Cl 35.45 Cl.upf
CELL_PARAMETERS angstrom
4.4266 0.0000 0.0000
0.0000 4.4266 0.0000
0.0000 0.0000 20.9957
ATOMIC_POSITIONS angstrom
Cs 0.0000 0.0000 1.9008
Cs 0.0000 0.0000 19.0949
Cs 2.2133 2.2133 8.5971
Cs 2.2133 2.2133 12.3986
Bi 0.0000 2.2133 5.2489
Bi 0.0000 2.2133 15.7468
Bi 2.2133 0.0000 5.2489
Bi 2.2133 0.0000 15.7468
Cl 0.0000 0.0000 10.4979
Cl 2.2133 2.2133 0.0000
```


Short version: E_tot = -213.388 -864.140 -676.451 -315.833 -635.978 -787.357 -1177.690 -425.166 -122.802 -134.424 -662.332 -491.700 eV per cell, in the order given.